## A
This record from the Open Quantum Materials Database describes an optimized crystal structure of NaLaFeSe3. The functional is PBE.

Calculated values
Magnetic moment (μB/cell): 16.01
Space group: No. 62

Unit cell a=8.351 b=4.240 c=16.628 alpha=90.00 beta=90.00 gamma=90.00
Site moments in Bohr magnetons follow the coordinates.
Fractional coordinates of all 24 atoms:
Fe: 0.873 0.250 0.139  3.18
Fe: 0.373 0.250 0.361  3.18
Fe: 0.627 0.750 0.639  3.18
Fe: 0.127 0.750 0.861  3.18
La: 0.251 0.250 0.047  0.05
La: 0.751 0.250 0.453  0.05
La: 0.249 0.750 0.547  0.05
La: 0.749 0.750 0.953  0.05
Na: 0.578 0.750 0.219  0.00
Na: 0.078 0.750 0.281  0.00
Na: 0.922 0.250 0.719  0.00
Na: 0.422 0.250 0.781  0.00
Se: 0.624 0.250 0.064  0.10
Se: 0.004 0.750 0.095  0.10
Se: 0.315 0.250 0.223  0.15
Se: 0.815 0.250 0.277  0.15
Se: 0.504 0.750 0.405  0.10
Se: 0.124 0.250 0.436  0.10
Se: 0.876 0.750 0.564  0.10
Se: 0.496 0.250 0.595  0.10
Se: 0.185 0.750 0.723  0.15
Se: 0.685 0.750 0.777  0.15
Se: 0.996 0.250 0.905  0.10
Se: 0.376 0.750 0.936  0.10

***

## B
This record from the Open Quantum Materials Database describes an optimized crystal structure of NaLaFeSe3. The functional is PBE.

Calculated values
Magnetic moment (μB/cell): 8.00
Space group: No. 11

Unit cell a=8.164 b=4.142 c=9.838 alpha=90.00 beta=100.50 gamma=90.00
Site moments in Bohr magnetons follow the coordinates.
Fractional coordinates of all 12 atoms:
Fe: 0.436 0.750 0.417  3.24
Fe: 0.564 0.250 0.583  3.24
La: 0.200 0.250 0.138  0.04
La: 0.800 0.750 0.862  0.04
Na: 0.749 0.250 0.285  0.00
Na: 0.251 0.750 0.715  0.00
Se: 0.945 0.750 0.162  0.02
Se: 0.468 0.750 0.177  0.11
Se: 0.272 0.250 0.461  0.18
Se: 0.728 0.750 0.539  0.18
Se: 0.532 0.250 0.823  0.11
Se: 0.055 0.250 0.838  0.02

***

The most stable of them is B.

***

## A
This record from the Open Quantum Materials Database describes an optimized crystal structure of NaLaFeSe3. The functional is PBE.

Calculated values
Magnetic moment (μB/cell): 8.00
Space group: No. 63

Unit cell a=4.215 b=6.881 c=11.501 alpha=90.00 beta=90.00 gamma=72.16
Site moments in Bohr magnetons follow the coordinates.
Fractional coordinates of all 12 atoms:
Fe: 0.528 0.944 0.250  3.21
Fe: 0.472 0.056 0.750  3.21
La: 0.000 0.000 0.000  0.04
La: 0.000 0.000 0.500  0.03
Na: 0.247 0.507 0.250  0.00
Na: 0.753 0.493 0.750  0.00
Se: 0.642 0.715 0.085  0.10
Se: 0.924 0.152 0.250  0.12
Se: 0.642 0.715 0.415  0.11
Se: 0.358 0.285 0.585  0.11
Se: 0.076 0.848 0.750  0.12
Se: 0.358 0.285 0.915  0.10

***

## B
This record from the Open Quantum Materials Database describes an optimized crystal structure of NaLaFeSe3. The functional is PBE.

Calculated values
Magnetic moment (μB/cell): 8.00
Space group: No. 12

Unit cell a=9.842 b=9.842 c=7.935 alpha=106.50 beta=106.50 gamma=25.00
Site moments in Bohr magnetons follow the coordinates.
Fractional coordinates of all 12 atoms:
Fe: 0.527 0.527 0.214  3.32
Fe: 0.473 0.473 0.786  3.32
La: 0.173 0.173 0.107  0.03
La: 0.827 0.827 0.893  0.03
Na: 0.884 0.884 0.421  0.00
Na: 0.116 0.116 0.579  0.00
Se: 0.000 0.000 0.000  0.13
Se: 0.331 0.331 0.151  0.03
Se: 0.658 0.658 0.351  0.10
Se: 0.500 0.500 0.500  0.22
Se: 0.342 0.342 0.649  0.10
Se: 0.669 0.669 0.849  0.03

***

## C
This record from the Open Quantum Materials Database describes an optimized crystal structure of NaLaFeSe3. The functional is PBE.

Calculated values
Magnetic moment (μB/cell): 16.00
Space group: No. 62

Unit cell a=4.264 b=11.575 c=12.144 alpha=90.00 beta=90.00 gamma=90.00
Site moments in Bohr magnetons follow the coordinates.
Fractional coordinates of all 24 atoms:
Fe: 0.750 0.749 0.211  3.19
Fe: 0.750 0.249 0.289  3.20
Fe: 0.250 0.751 0.711  3.20
Fe: 0.250 0.251 0.789  3.19
La: 0.250 0.484 0.181  0.04
La: 0.250 0.984 0.319  0.04
La: 0.750 0.016 0.681  0.04
La: 0.750 0.516 0.819  0.04
Na: 0.750 0.170 0.005  0.00
Na: 0.750 0.670 0.495  0.00
Na: 0.250 0.330 0.505  0.00
Na: 0.250 0.830 0.995  0.00
Se: 0.750 0.616 0.058  0.10
Se: 0.750 0.944 0.145  0.12
Se: 0.250 0.217 0.191  0.14
Se: 0.250 0.717 0.309  0.14
Se: 0.750 0.444 0.355  0.12
Se: 0.750 0.116 0.442  0.10
Se: 0.250 0.884 0.558  0.10
Se: 0.250 0.556 0.645  0.12
Se: 0.750 0.283 0.691  0.14
Se: 0.750 0.783 0.809  0.14
Se: 0.250 0.056 0.855  0.12
Se: 0.250 0.384 0.942  0.10

***

## D
This record from the Open Quantum Materials Database describes an optimized crystal structure of NaLaFeSe3. The functional is PBE.

Calculated values
Magnetic moment (μB/cell): 16.01
Space group: No. 62

Unit cell a=13.757 b=4.142 c=11.645 alpha=90.00 beta=90.00 gamma=90.00
Site moments in Bohr magnetons follow the coordinates.
Fractional coordinates of all 24 atoms:
Fe: 0.493 0.750 0.077  3.23
Fe: 0.993 0.750 0.423  3.23
Fe: 0.007 0.250 0.577  3.23
Fe: 0.507 0.250 0.923  3.23
La: 0.987 0.250 0.163  0.05
La: 0.487 0.250 0.337  0.05
La: 0.513 0.750 0.663  0.05
La: 0.013 0.750 0.837  0.05
Na: 0.272 0.250 0.053  0.00
Na: 0.772 0.250 0.447  0.00
Na: 0.228 0.750 0.553  0.00
Na: 0.728 0.750 0.947  0.00
Se: 0.116 0.750 0.062  0.02
Se: 0.598 0.250 0.106  0.18
Se: 0.366 0.750 0.219  0.11
Se: 0.866 0.750 0.281  0.11
Se: 0.098 0.250 0.394  0.18
Se: 0.616 0.750 0.438  0.02
Se: 0.384 0.250 0.562  0.02
Se: 0.902 0.750 0.606  0.18
Se: 0.134 0.250 0.719  0.11
Se: 0.634 0.250 0.781  0.11
Se: 0.402 0.750 0.894  0.18
Se: 0.884 0.250 0.938  0.02

***

The most stable of them is C.

***

## A
This record from the Open Quantum Materials Database describes an optimized crystal structure of NaLaFeW. The functional is PBE.

Calculated values
Magnetic moment (μB/cell): 1.83
Space group: No. 216

Unit cell a=4.783 b=4.783 c=4.783 alpha=60.00 beta=60.00 gamma=60.00
Fractional coordinates of all 4 atoms:
Fe: 0.000 0.000 0.000
La: 0.500 0.500 0.500
Na: 0.750 0.750 0.750
W: 0.250 0.250 0.250

***

## B
This record from the Open Quantum Materials Database describes an optimized crystal structure of NaLaFeW. The functional is PBE.

Calculated values
Magnetic moment (μB/cell): 1.85
Space group: No. 216

Unit cell a=4.760 b=4.760 c=4.760 alpha=60.00 beta=60.00 gamma=60.00
Fractional coordinates of all 4 atoms:
Fe: 0.250 0.250 0.250
La: 0.500 0.500 0.500
Na: 0.750 0.750 0.750
W: 0.000 0.000 0.000

***

## C
This record from the Open Quantum Materials Database describes an optimized crystal structure of NaLaFeW. The functional is PBE.

Calculated values
Magnetic moment (μB/cell): 4.89
Space group: No. 216

Unit cell a=4.965 b=4.965 c=4.965 alpha=60.00 beta=60.00 gamma=60.00
Fractional coordinates of all 4 atoms:
Fe: 0.500 0.500 0.500
La: 0.250 0.250 0.250
Na: 0.750 0.750 0.750
W: 0.000 0.000 0.000

***

The most stable of them is A.